DFT (GGA-PBE) results for LiCd2Se after structural relaxation.

Output
Its total energy is -9.021 eV/f.u. Its density of states at the Fermi level is 1.3 states/eV per cell.

Structure (CIF):
```
data_LiCd2Se
_cell_length_a 8.3569
_cell_length_b 3.7877
_cell_length_c 6.3570
_cell_angle_alpha 90.00
_cell_angle_beta 108.68
_cell_angle_gamma 90.00
_symmetry_space_group_name_H-M 'C 1 m 1'
_symmetry_Int_Tables_number 8
loop_
_symmetry_equiv_pos_as_xyz
'x,y,z'
'x,-y,z'
'x+1/2,y+1/2,z'
'x+1/2,-y+1/2,z'
loop_
_atom_site_label
_atom_site_type_symbol
_atom_site_fract_x
_atom_site_fract_y
_atom_site_fract_z
Li1 Li 0.0000 0.0000 0.0000
Cd1 Cd 0.1530 0.5000 0.6797
Cd2 Cd 0.3810 0.5000 0.4231
Se1 Se 0.3111 0.0000 0.0603
```

---

DFT (GGA-PBE) results for Cu2OsPb after structural relaxation.

Output
Its total energy is -20.673 eV/f.u. Its density of states at the Fermi level is 2.6 states/eV per cell.

Structure (CIF):
```
data_Cu2OsPb
_cell_length_a 2.8323
_cell_length_b 3.6245
_cell_length_c 6.5700
_cell_angle_alpha 90.00
_cell_angle_beta 90.43
_cell_angle_gamma 90.00
_symmetry_space_group_name_H-M 'P 1 2/m 1'
_symmetry_Int_Tables_number 10
loop_
_symmetry_equiv_pos_as_xyz
'x,y,z'
'-x,-y,-z'
'-x,y,-z'
'x,-y,z'
loop_
_atom_site_label
_atom_site_type_symbol
_atom_site_fract_x
_atom_site_fract_y
_atom_site_fract_z
Cu1 Cu 0.0033 0.0000 0.1939
Os1 Os 0.5000 0.5000 0.0000
Pb1 Pb 0.5000 0.5000 0.5000
```